An optimized crystal structure of MgAgHAu2. Source: Alexandria, functional PBE-GGA.

```
5
Lattice="4.1530 0.0000 0.0000 0.0000 4.1530 0.0000 0.0000 0.0000 4.3415" Properties=species:S:1:pos:R:3 pbc="T T T"
Mg 0.0000 0.0000 0.0000
Ag 2.0765 2.0765 0.0000
H 0.0000 0.0000 2.1708
Au 0.0000 2.0765 2.1708
Au 2.0765 0.0000 2.1708
```

Uncorrected energy, eV/atom: -2.920
Excess energy over the best structure of this formula in the dataset, meV/atom: 0
D(E_F), states/eV/cell: 1.97
Volume, Å³ per cell: 74.9
Total moment, μB per formula unit: 0.000